No. 1
Below is a relaxed Na2Pm2GeO6 crystal, with properties calculated at the GGA-PBE level.

Summary:
- raw formation energy (eV per formula unit) = -25.47
- final energy (eV per atom) = -6.54
- total moment (μB per atom) = 0.00

a b c (Å): 5.888 10.140 5.874
angles (deg): 90.00 102.73 90.00
Space group C2/m (No. 12)
Symmetry-distinct sites (fractional):
1 Na 0.000 0.137 0.000 (multiplicity 4)
2 Pm 0.000 0.335 0.500 (multiplicity 4)
3 Ge 0.000 0.000 0.500 (multiplicity 2)
4 O 0.183 0.148 0.687 (multiplicity 8)
5 O 0.227 0.000 0.308 (multiplicity 4)

No. 2
Below is a relaxed SiI2NO crystal, with properties calculated at the GGA-PBE level.

Summary:
- raw formation energy (eV per formula unit) = 3.21
- energy above the most stable polymorph in this dataset (eV/atom) = 0.072
- final energy (eV per atom) = -3.72
- total moment (μB per atom) = 0.35

a b c (Å): 5.947 5.947 3.205
angles (deg): 90.00 90.00 90.00
Space group P4/mmm (No. 123)
Symmetry-distinct sites (fractional):
1 Si 0.000 0.000 0.000 (multiplicity 1)
2 I 0.000 0.500 0.000 (multiplicity 2)
3 N 0.000 0.000 0.500 (multiplicity 1)
4 O 0.500 0.500 0.500 (multiplicity 1)

No. 3
Below is a relaxed ZrPdPbSe3 crystal, with properties calculated at the GGA-PBE level.

Summary:
- raw formation energy (eV per formula unit) = -5.22
- final energy (eV per atom) = -5.52
- total moment (μB per atom) = 0.00

a b c (Å): 7.863 3.885 9.884
angles (deg): 90.00 106.67 90.00
Space group P2_1/m (No. 11)
Symmetry-distinct sites (fractional):
1 Zr 0.187 0.250 0.166 (multiplicity 2)
2 Pd 0.438 0.750 0.381 (multiplicity 2)
3 Pb 0.296 0.750 0.683 (multiplicity 2)
4 Se 0.070 0.250 0.866 (multiplicity 2)
5 Se 0.220 0.250 0.441 (multiplicity 2)
6 Se 0.408 0.750 0.121 (multiplicity 2)

No. 4
Below is a relaxed YBr crystal, with properties calculated at the GGA-PBE level.

Summary:
- raw formation energy (eV per formula unit) = -1.84
- final energy (eV per atom) = -4.99
- total moment (μB per atom) = 0.00

a b c (Å): 3.557 5.882 5.063
angles (deg): 90.00 90.00 90.00
Space group Pmmn (No. 59, origin choice 2)
Symmetry-distinct sites (fractional):
1 Y 0.250 0.250 0.115 (multiplicity 2)
2 Br 0.250 0.750 0.386 (multiplicity 2)

No. 5
Below is a relaxed Ba2SmGaSe5 crystal, with properties calculated at the GGA-PBE level.

Summary:
- raw formation energy (eV per formula unit) = -14.78
- energy above the most stable polymorph in this dataset (eV/atom) = 0.009
- final energy (eV per atom) = -4.87
- total moment (μB per atom) = 0.00

a b c (Å): 4.265 19.272 13.517
angles (deg): 90.00 90.00 90.00
Space group Cmc2_1 (No. 36)
Symmetry-distinct sites (fractional):
1 Ba 0.000 0.121 0.000 (multiplicity 4)
2 Ba 0.000 0.125 0.642 (multiplicity 4)
3 Sm 0.000 0.204 0.341 (multiplicity 4)
4 Ga 0.000 0.441 0.740 (multiplicity 4)
5 Se 0.000 0.043 0.342 (multiplicity 4)
6 Se 0.000 0.298 0.985 (multiplicity 4)
7 Se 0.000 0.317 0.687 (multiplicity 4)
8 Se 0.000 0.350 0.323 (multiplicity 4)
9 Se 0.000 0.499 0.085 (multiplicity 4)

No. 6
Below is a relaxed LiHoThGa crystal, with properties calculated at the GGA-PBE level.

Summary:
- final energy (eV per atom) = -4.44
- total moment (μB per atom) = 0.00
- ΔE_f (kJ/mol of formula units) = -79

a b c (Å): 7.278 7.278 7.278
angles (deg): 90.00 90.00 90.00
Space group F-43m (No. 216)
Symmetry-distinct sites (fractional):
1 Li 0.000 0.000 0.000 (multiplicity 4)
2 Ho 0.250 0.250 0.250 (multiplicity 4)
3 Th 0.250 0.250 0.750 (multiplicity 4)
4 Ga 0.000 0.000 0.500 (multiplicity 4)

No. 7
Below is a relaxed BeBi2N crystal, with properties calculated at the GGA-PBE level.

Summary:
- raw formation energy (eV per formula unit) = 2.84
- energy above the most stable polymorph in this dataset (eV/atom) = 0.000
- final energy (eV per atom) = -4.24
- total moment (μB per atom) = 0.00

a b c (Å): 5.554 5.554 11.571
angles (deg): 90.00 90.00 90.00
Space group I-42d (No. 122)
Symmetry-distinct sites (fractional):
1 Be 0.000 0.000 0.000 (multiplicity 4)
2 Bi 0.230 0.250 0.625 (multiplicity 8)
3 N 0.000 0.000 0.500 (multiplicity 4)

No. 8
Below is a relaxed Dy6Ge2PtSe3 crystal, with properties calculated at the GGA-PBE level.

Summary:
- raw formation energy (eV per formula unit) = -16.79
- final energy (eV per atom) = -5.84
- total moment (μB per atom) = 0.00

a b c (Å): 18.119 4.100 8.314
angles (deg): 90.00 105.17 90.00
Space group C2/m (No. 12)
Symmetry-distinct sites (fractional):
1 Dy 0.002 0.000 0.242 (multiplicity 4)
2 Dy 0.164 0.500 0.090 (multiplicity 4)
3 Dy 0.170 0.500 0.575 (multiplicity 4)
4 Ge 0.165 0.000 0.331 (multiplicity 4)
5 Pt 0.000 0.500 0.000 (multiplicity 2)
6 Se 0.000 0.500 0.500 (multiplicity 2)
7 Se 0.168 0.000 0.832 (multiplicity 4)

| no. | ρ (g cm⁻³) |
| --- | --- |
| 1 | 4.90 |
| 2 | 4.57 |
| 3 | 7.37 |
| 4 | 5.29 |
| 5 | 5.32 |
| 6 | 8.16 |
| 7 | 8.21 |
| 8 | 8.65 |